Entry 1:
! KMg14BO15 (GGA-PBE, optimized geometry); values from VASP
! - uncorrected energy (eV per atom) = -5.7077
! - total magnetic moment (μB per atom) = 0.00
! - energy above the lowest structure with this stoichiometry (meV per atom) = 0
! - SG = Pmm2, No. 25
&SYSTEM
  ibrav = 0, nat = 31, ntyp = 4
/
ATOMIC_SPECIES
K 39.10 K.upf
Mg 24.30 Mg.upf
B 10.81 B.upf
O 16.00 O.upf
ATOMIC_POSITIONS crystal
K 0.000 0.000 0.983
Mg 0.000 0.000 0.503
Mg 0.000 0.500 0.495
Mg 0.500 0.739 0.002
Mg 0.500 0.261 0.002
Mg 0.500 0.749 0.497
Mg 0.500 0.251 0.497
Mg 0.500 0.000 0.745
Mg 0.500 0.500 0.760
Mg 0.500 0.000 0.248
Mg 0.500 0.500 0.246
Mg 0.000 0.733 0.739
Mg 0.000 0.267 0.739
Mg 0.000 0.757 0.255
Mg 0.000 0.243 0.255
B 0.000 0.500 0.061
O 0.000 0.500 0.722
O 0.000 0.000 0.267
O 0.000 0.500 0.233
O 0.500 0.747 0.754
O 0.500 0.253 0.754
O 0.500 0.750 0.247
O 0.500 0.250 0.247
O 0.500 0.000 0.004
O 0.500 0.500 0.011
O 0.500 0.000 0.498
O 0.500 0.500 0.486
O 0.000 0.667 0.009
O 0.000 0.333 0.009
O 0.000 0.745 0.492
O 0.000 0.255 0.492
CELL_PARAMETERS angstrom
4.504 0.000 0.000
0.000 8.315 0.000
0.000 0.000 8.694


Entry 2:
! KMg6BO7 (GGA-PBE, optimized geometry); values from VASP
! - uncorrected energy (eV per atom) = -5.3803
! - total magnetic moment (μB per atom) = 0.00
! - energy above the lowest structure with this stoichiometry (meV per atom) = 0
! - SG = P4mm, No. 99
&SYSTEM
  ibrav = 0, nat = 15, ntyp = 4
/
ATOMIC_SPECIES
K 39.10 K.upf
Mg 24.30 Mg.upf
B 10.81 B.upf
O 16.00 O.upf
ATOMIC_POSITIONS crystal
K 0.000 0.000 0.001
Mg 0.500 0.500 0.005
Mg 0.500 0.500 0.496
Mg 0.000 0.500 0.256
Mg 0.000 0.500 0.743
Mg 0.500 0.000 0.256
Mg 0.500 0.000 0.743
B 0.000 0.000 0.501
O 0.000 0.000 0.330
O 0.000 0.000 0.672
O 0.500 0.500 0.750
O 0.000 0.500 0.999
O 0.000 0.500 0.499
O 0.500 0.000 0.999
O 0.500 0.000 0.499
CELL_PARAMETERS angstrom
-4.510 -1.600 0.060
0.887 -2.647 -3.887
2.186 -5.991 4.579